Here is a relaxed Ta2GaSi2Ru5 crystal from Alexandria via LeMat-Bulk. Energies are from GGA-PBE.

abc: 9.6621 9.6621 3.1233
angles: 90.00 90.00 90.00
Last column: nearest neighbours and their distance in Å.
Space group P4/mbm (No. 127)
One atom of each set of equivalent atoms:
Ta (0.1736, 0.3264, 0.0000) [4 per cell]  3 Si 2.70-2.95, 10 Ru 2.84-3.02
Ga (0.0000, 0.0000, 0.0000) [2 per cell]  8 Ru 2.60
Si (0.1287, 0.6287, 0.0000) [4 per cell]  6 Ru 2.32-2.35
Ru (0.0000, 0.5000, 0.5000) [2 per cell]  4 Si 2.35
Ru (0.0649, 0.7950, 0.5000) [8 per cell]  2 Si 2.32, 2 Ga 2.60

Results
**Calculated density**: 11312 kg/m³
**Total magnetization**: 0.00 μB/cell
**Uncorrected formation energy**: -0.487 eV per atom